! PBE-GGA Au4Br, optimized geometry; values from VASP
! Density   12.0 g/cm3
! Fermi-level density of states   0.31 states/eV/atom
! ΔE_f (raw)   762 meV/atom
&SYSTEM
  ibrav = 0, nat = 5, ntyp = 2
/
ATOMIC_SPECIES
Au 196.97 Au.upf
Br 79.90 Br.upf
CELL_PARAMETERS angstrom
-3.111 3.111 3.111
3.111 -3.111 3.111
3.111 3.111 -3.111
ATOMIC_POSITIONS crystal
Au 0.000 0.000 0.500
Au 0.000 0.500 0.000
Au 0.500 0.000 0.000
Au 0.500 0.500 0.500
Br 0.000 0.000 0.000